Record 1
# HfTa4Ti PBE relaxed
# Symmetry = F-43m (216)
# Magnetization = 1.35 μB/f.u.
# Fermi-level density of states = 14.5 states/eV/f.u.
# Calculated density = 13.42 g cm⁻³
# DFT formation energy = 0.176 eV per atom
data_HfTa4Ti
_chemical_formula_sum 'Hf1 Ta4 Ti1'
_symmetry_space_group_name_H-M 'P 1'
_symmetry_Int_Tables_number 1
_cell_length_a 5.498
_cell_length_b 5.498
_cell_length_c 5.498
_cell_angle_alpha 60.00
_cell_angle_beta 60.00
_cell_angle_gamma 60.00
loop_
_symmetry_equiv_pos_as_xyz
'x,y,z'
loop_
_atom_site_label
_atom_site_type_symbol
_atom_site_fract_x
_atom_site_fract_y
_atom_site_fract_z
_atom_site_occupancy
Hf1 Hf 0.000 0.000 0.000 1
Ta1 Ta 0.124 0.625 0.625 1
Ta2 Ta 0.625 0.124 0.625 1
Ta3 Ta 0.625 0.625 0.124 1
Ta4 Ta 0.625 0.625 0.625 1
Ti1 Ti 0.250 0.250 0.250 1

Record 2
# HfTaTi4 PBE relaxed
# Symmetry = P-1 (2)
# Distance to the lowest polymorph of the same formula = 0 meV/atom
# Magnetization = 0.00 μB/f.u.
# Fermi-level density of states = 9.5 states/eV/f.u.
# Calculated density = 8.34 g cm⁻³
# DFT formation energy = 0.082 eV per atom
data_HfTaTi4
_chemical_formula_sum 'Hf1 Ta1 Ti4'
_symmetry_space_group_name_H-M 'P 1'
_symmetry_Int_Tables_number 1
_cell_length_a 3.437
_cell_length_b 5.608
_cell_length_c 6.329
_cell_angle_alpha 108.25
_cell_angle_beta 90.12
_cell_angle_gamma 107.82
loop_
_symmetry_equiv_pos_as_xyz
'x,y,z'
loop_
_atom_site_label
_atom_site_type_symbol
_atom_site_fract_x
_atom_site_fract_y
_atom_site_fract_z
_atom_site_occupancy
Hf1 Hf 0.000 0.000 0.000 1
Ta1 Ta 0.000 0.000 0.500 1
Ti1 Ti 0.323 0.646 0.184 1
Ti2 Ti 0.337 0.673 0.633 1
Ti3 Ti 0.663 0.327 0.367 1
Ti4 Ti 0.677 0.354 0.816 1